Material: Mo3Rh
Method: DFT, PBE
State: relaxed

a b c (Å): 4.8625 4.8625 11.1918
angles (deg): 149.84 149.84 32.68
Last column: nearest neighbours and their distance in Å.
Atoms (fractional coordinates):
Mo1 0.9837 0.9837 0.4938  9 Mo 2.73-2.90, 3 Rh 2.74-2.87
Mo2 0.0000 0.0000 0.7500  8 Mo 2.73-2.90, 4 Rh 2.81
Mo3 0.0163 0.0163 0.0062  9 Mo 2.73-2.90, 3 Rh 2.74-2.87
Rh1 0.0000 0.0000 0.2500  2 Rh 2.74, 10 Mo 2.74-2.87

Results
* M_tot: 0.00 μB/f.u.
* energy relative to the elements: 73 meV per atom
* total DFT energy (no corrections): -39.55 eV per formula unit